[1]
## Mg2TaCo (meta-GGA SCAN)

Data for Mg2TaCo at its PBEsol-relaxed geometry.

Properties
Its formation energy from the elements is 0.220 eV per atom. Its space group is P4/mmm (123). The density of states at the Fermi level is 2.720 states/eV per cell. The value obtained for the offset from the most stable computed form is 0.000 eV/atom.

abc: 2.794 2.794 8.281
angles: 90.00 90.00 90.00
Fractional positions:
Mg1 0.000 0.000 0.218
Mg2 0.000 0.000 0.782
Ta1 0.500 0.500 0.500
Co1 0.500 0.500 0.000

---

[2]
## Cs3KAu (meta-GGA SCAN)

Data for Cs3KAu at its PBEsol-relaxed geometry.

Properties
Its formation energy from the elements is -0.173 eV per atom. Its space group is Cm (8). The density of states at the Fermi level is 7.833 states/eV per cell.

abc: 8.674 8.674 14.253
angles: 114.54 114.54 47.85
Fractional positions:
Cs1 0.000 0.000 0.000
Cs2 0.002 0.002 0.517
Cs3 0.258 0.258 0.382
Cs4 0.495 0.495 0.259
Cs5 0.504 0.504 0.752
Cs6 0.753 0.753 0.645
K1 0.237 0.237 0.886
K2 0.750 0.750 0.121
Au1 0.004 0.004 0.762
Au2 0.503 0.503 0.505

---

[3]
## CaSc4Re (meta-GGA SCAN)

Data for CaSc4Re at its PBEsol-relaxed geometry.

Properties
Its formation energy from the elements is 0.721 eV per atom. Its space group is F-43m (216). The density of states at the Fermi level is 8.910 states/eV per cell.

abc: 5.717 5.717 5.717
angles: 60.00 60.00 60.00
Fractional positions:
Ca1 0.000 0.000 0.000
Sc1 0.138 0.621 0.621
Sc2 0.621 0.138 0.621
Sc3 0.621 0.621 0.138
Sc4 0.621 0.621 0.621
Re1 0.250 0.250 0.250

---

[4]
## Ti3O4 (meta-GGA SCAN)

Data for Ti3O4 at its PBEsol-relaxed geometry.

Properties
Its space group is Cmmm (65). The density of states at the Fermi level is 2.848 states/eV per cell. The value obtained for the offset from the most stable computed form is 0.042 eV/atom.

abc: 4.982 4.982 2.974
angles: 90.00 90.00 108.33
Fractional positions:
Ti1 0.000 0.000 0.000
Ti2 0.000 0.500 0.500
Ti3 0.500 0.000 0.500
O1 0.237 0.237 0.500
O2 0.259 0.741 0.000
O3 0.741 0.259 0.000
O4 0.763 0.763 0.500

---

[5]
## CaNbCl2 (meta-GGA SCAN)

Data for CaNbCl2 at its PBEsol-relaxed geometry.

Properties
Its space group is Fm-3m (225). The density of states at the Fermi level is 3.157 states/eV per cell. The value obtained for the offset from the most stable computed form is 0.132 eV/atom.

abc: 4.631 4.631 4.631
angles: 60.00 60.00 60.00
Fractional positions:
Ca1 0.000 0.000 0.000
Nb1 0.500 0.500 0.500
Cl1 0.250 0.250 0.250
Cl2 0.750 0.750 0.750

---

[6]
## Sr2ScNi (meta-GGA SCAN)

Data for Sr2ScNi at its PBEsol-relaxed geometry.

Properties
Its formation energy from the elements is 0.335 eV per atom. Its space group is P4/mmm (123). The density of states at the Fermi level is 3.759 states/eV per cell. The value obtained for the offset from the most stable computed form is 0.000 eV/atom.

abc: 3.559 3.559 9.047
angles: 90.00 90.00 90.00
Fractional positions:
Sr1 0.000 0.000 0.192
Sr2 0.000 0.000 0.808
Sc1 0.500 0.500 0.500
Ni1 0.500 0.500 0.000

---

[7]
## Na3InP2 (meta-GGA SCAN)

Data for Na3InP2 at its PBEsol-relaxed geometry.

Properties
Its formation energy from the elements is -0.504 eV per atom. Its space group is P2_1/c (14).

abc: 9.373 7.293 15.246
angles: 90.00 92.74 90.00
Fractional positions:
Na1 0.061 0.010 0.395
Na2 0.061 0.490 0.895
Na3 0.116 0.154 0.046
Na4 0.116 0.346 0.546
Na5 0.180 0.505 0.363
Na6 0.180 0.995 0.863
Na7 0.313 0.033 0.650
Na8 0.313 0.467 0.150
Na9 0.375 0.153 0.296
Na10 0.375 0.347 0.796
Na11 0.435 0.523 0.606
Na12 0.435 0.977 0.106
Na13 0.565 0.023 0.894
Na14 0.565 0.477 0.394
Na15 0.625 0.653 0.204
Na16 0.625 0.847 0.704
Na17 0.687 0.533 0.850
Na18 0.687 0.967 0.350
Na19 0.820 0.005 0.137
Na20 0.820 0.495 0.637
Na21 0.884 0.654 0.454
Na22 0.884 0.846 0.954
Na23 0.939 0.510 0.105
Na24 0.939 0.990 0.605
In1 0.137 0.655 0.710
In2 0.137 0.845 0.210
In3 0.374 0.642 0.959
In4 0.374 0.858 0.459
In5 0.626 0.142 0.541
In6 0.626 0.358 0.041
In7 0.863 0.155 0.790
In8 0.863 0.345 0.290
P1 0.092 0.206 0.226
P2 0.092 0.294 0.726
P3 0.153 0.737 0.541
P4 0.153 0.763 0.041
P5 0.373 0.218 0.477
P6 0.373 0.282 0.977
P7 0.375 0.740 0.794
P8 0.375 0.760 0.294
P9 0.625 0.240 0.706
P10 0.625 0.260 0.206
P11 0.627 0.718 0.023
P12 0.627 0.782 0.523
P13 0.847 0.237 0.959
P14 0.847 0.263 0.459
P15 0.908 0.706 0.274
P16 0.908 0.794 0.774

---

[8]
## CdBi2Ir2 (meta-GGA SCAN)

Data for CdBi2Ir2 at its PBEsol-relaxed geometry.

Properties
Its formation energy from the elements is 0.504 eV per atom. Its space group is I4/mmm (139). The density of states at the Fermi level is 2.954 states/eV per cell.

abc: 6.593 6.593 6.593
angles: 140.30 140.30 57.40
Fractional positions:
Cd1 0.000 0.000 0.000
Bi1 0.250 0.750 0.500
Bi2 0.750 0.250 0.500
Ir1 0.395 0.395 0.000
Ir2 0.605 0.605 0.000

---

[9]
## Li2InPb (meta-GGA SCAN)

Data for Li2InPb at its PBEsol-relaxed geometry.

Properties
Its formation energy from the elements is -0.282 eV per atom. Its space group is Pmm2 (25). The density of states at the Fermi level is 1.158 states/eV per cell. The value obtained for the offset from the most stable computed form is 0.105 eV/atom.

abc: 3.630 3.939 6.008
angles: 90.00 90.00 90.00
Fractional positions:
Li1 0.000 0.000 0.000
Li2 0.500 0.500 0.263
In1 0.500 0.500 0.782
Pb1 0.000 0.000 0.494

---

[10]
## CdRuSe4 (meta-GGA SCAN)

Data for CdRuSe4 at its PBEsol-relaxed geometry.

Properties
Its space group is F-43m (216). The density of states at the Fermi level is 5.070 states/eV per cell.

abc: 5.534 5.534 5.534
angles: 60.00 60.00 60.00
Fractional positions:
Cd1 0.000 0.000 0.000
Ru1 0.250 0.250 0.250
Se1 0.126 0.625 0.625
Se2 0.625 0.126 0.625
Se3 0.625 0.625 0.126
Se4 0.625 0.625 0.625

---

[11]
## La3GaPb (meta-GGA SCAN)

Data for La3GaPb at its PBEsol-relaxed geometry.

Properties
Its formation energy from the elements is 0.101 eV per atom. Its space group is Pm-3m (221). The density of states at the Fermi level is 7.562 states/eV per cell.

abc: 5.972 5.972 5.972
angles: 90.00 90.00 90.00
Fractional positions:
La1 0.000 0.000 0.500
La2 0.000 0.500 0.000
La3 0.500 0.000 0.000
Ga1 0.500 0.500 0.500
Pb1 0.000 0.000 0.000

---

[12]
## AlTc3Br (meta-GGA SCAN)

Data for AlTc3Br at its PBEsol-relaxed geometry.

Properties
Its space group is Pm-3m (221). The density of states at the Fermi level is 3.875 states/eV per cell.

abc: 4.461 4.461 4.461
angles: 90.00 90.00 90.00
Fractional positions:
Al1 0.000 0.000 0.000
Tc1 0.000 0.500 0.500
Tc2 0.500 0.000 0.500
Tc3 0.500 0.500 0.000
Br1 0.500 0.500 0.500

---

Looking at uncorrected energy for the records above, in order, we have -23.24; -38.36; -22.23; -13.42; -15.17; -18.41; -11.64; -65.45; -28.77; -23.28; -44.19; -24.94 eV/atom.